Record 1
A geometry-optimized ScFeP2 structure, computed with PBE.

Output
excess energy over the best structure of this formula in the dataset	533	meV per atom

a = 2.8544 Å, b = 2.8544 Å, c = 7.9150 Å
α = 90.00°, β = 90.00°, γ = 90.00°
With the nearest neighbours (Å) after each atom.
Space group P4mm (No. 99)
One atom of each set of equivalent atoms:
Sc1 0.0000 0.0000 0.0000 x1  5 P 2.76-3.02, 4 Fe 2.83, 4 Sc 2.85
Fe1 0.5000 0.5000 0.2503 x1  4 P 2.27
P1 0.0000 0.0000 0.3817 x1  4 Fe 2.27
P2 0.5000 0.5000 0.7614 x1  4 Sc 2.76, 4 P 2.85

***

Record 2
A geometry-optimized Sc3FeP structure, computed with PBE.

Output
excess energy over the best structure of this formula in the dataset	0	meV per atom

a = 4.6887 Å, b = 4.6887 Å, c = 4.6887 Å
α = 90.00°, β = 90.00°, γ = 90.00°
With the nearest neighbours (Å) after each atom.
Space group Pm-3m (No. 221)
One atom of each set of equivalent atoms:
Sc1 0.0000 0.0000 0.5000 x3  2 Fe 2.34
Fe1 0.0000 0.0000 0.0000 x1  6 Sc 2.34
P1 0.5000 0.5000 0.5000 x1  12 Sc 3.32

***

Record 3
A geometry-optimized ScFeP4 structure, computed with PBE.

a = 7.1064 Å, b = 7.1064 Å, c = 7.1064 Å
α = 90.00°, β = 90.00°, γ = 90.00°
With the nearest neighbours (Å) after each atom.
Space group F-43m (No. 216)
One atom of each set of equivalent atoms:
Sc1 0.0000 0.0000 0.0000 x4  12 P 2.95, 4 Fe 3.08
Fe1 0.2500 0.2500 0.7500 x4  12 P 2.94, 4 Sc 3.08
P1 0.1230 0.1230 0.3770 x16  6 P 2.47-2.55

***

no.,energy (eV per atom),DFT formation energy (eV/atom),D(E_F) (states/eV/atom)
1,-6.653,-0.249,0.912
2,-6.616,-0.042,1.362
3,-5.814,0.258,0.911